First-principles (PBE) data for Pm5Te5Pt after structural relaxation, as listed in Alexandria via LeMat-Bulk.

Lattice parameters (Å, degrees): 6.3043 7.7202 8.7879 107.21 90.00 114.10
Fractional coordinates of all 11 atoms:
Pm1 0.8457 0.6915 0.6845
Pm2 0.8476 0.6952 0.1551
Pm3 0.1524 0.3048 0.8449
Pm4 0.5000 0.0000 0.0000
Pm5 0.1543 0.3085 0.3155
Te1 0.3351 0.6702 0.1739
Te2 0.3197 0.6394 0.6666
Te3 0.6649 0.3298 0.8261
Te4 0.0000 0.0000 0.5000
Te5 0.6803 0.3606 0.3334
Pt1 0.0000 0.0000 0.0000

Calculated values
- SG: C2/m, No. 12
- ΔE_f (raw): -1345 meV/atom
- D(E_F): 0.91 states/eV per atom
- Crystal system: monoclinic
- E_tot: -5.48 eV/atom